# DyYH2Br4 PBE optimized geometry
data_DyYH2Br4
_chemical_formula_sum 'Dy1 Y1 H2 Br4'
_cell_length_a 3.8341
_cell_length_b 3.8341
_cell_length_c 14.7992
_cell_angle_alpha 90.00
_cell_angle_beta 90.00
_cell_angle_gamma 120.00
_symmetry_space_group_name_H-M 'P -6 m 2'
_symmetry_Int_Tables_number 187
_symmetry_space_group_name_Hall 'P -6 2'
loop_
_atom_site_label
_atom_site_type_symbol
_atom_site_fract_x
_atom_site_fract_y
_atom_site_fract_z
Dy1 Dy 0.0000 0.0000 0.0000
Y1 Y 0.0000 0.0000 0.5000
H1 H 0.3333 0.6667 0.5000
H2 H 0.6667 0.3333 0.0000
Br1 Br 0.3333 0.6667 0.1291
Br2 Br 0.6667 0.3333 0.3704
# energy	-4.580	eV per atom

---

# DyHg3Se4Br PBE optimized geometry
data_DyHg3Se4Br
_chemical_formula_sum 'Dy2 Hg6 Se8 Br2'
_cell_length_a 8.1393
_cell_length_b 8.1393
_cell_length_c 8.5962
_cell_angle_alpha 90.00
_cell_angle_beta 90.00
_cell_angle_gamma 120.00
_symmetry_space_group_name_H-M 'P 63 m c'
_symmetry_Int_Tables_number 186
_symmetry_space_group_name_Hall 'P 6c -2c'
loop_
_atom_site_label
_atom_site_type_symbol
_atom_site_fract_x
_atom_site_fract_y
_atom_site_fract_z
Dy1 Dy 0.0000 0.0000 0.0000
Hg1 Hg 0.0176 0.5088 0.1605
Se1 Se 0.1422 0.2845 0.7421
Se2 Se 0.3333 0.6667 0.9982
Br1 Br 0.3333 0.6667 0.4330
# energy	-2.956	eV per atom

---

# DyHoBr2N PBE optimized geometry
data_DyHoBr2N
_chemical_formula_sum 'Dy1 Ho1 Br2 N1'
_cell_length_a 3.6476
_cell_length_b 3.6476
_cell_length_c 10.4185
_cell_angle_alpha 90.00
_cell_angle_beta 90.00
_cell_angle_gamma 120.00
_symmetry_space_group_name_H-M 'P 3 m 1'
_symmetry_Int_Tables_number 156
_symmetry_space_group_name_Hall 'P 3 -2"'
loop_
_atom_site_label
_atom_site_type_symbol
_atom_site_fract_x
_atom_site_fract_y
_atom_site_fract_z
Dy1 Dy 0.0000 0.0000 0.0000
Ho1 Ho 0.6667 0.3333 0.7541
Br1 Br 0.0000 0.0000 0.5673
Br2 Br 0.6667 0.3333 0.1875
N1 N 0.3333 0.6667 0.8759
# energy	-5.899	eV per atom

---

# DyHoBr3N PBE optimized geometry
data_DyHoBr3N
_chemical_formula_sum 'Dy4 Ho4 Br12 N4'
_cell_length_a 18.886
_cell_length_b 3.864
_cell_length_c 11.820
_cell_angle_alpha 90.00
_cell_angle_beta 126.59
_cell_angle_gamma 90.00
_symmetry_space_group_name_H-M 'C 1 2/m 1'
_symmetry_Int_Tables_number 12
_symmetry_space_group_name_Hall '-C 2y'
loop_
_atom_site_label
_atom_site_type_symbol
_atom_site_fract_x
_atom_site_fract_y
_atom_site_fract_z
Dy1 Dy 0.136 0.000 0.284
Ho1 Ho 0.071 0.500 0.962
Br1 Br 0.033 0.000 0.751
Br2 Br 0.171 0.500 0.509
Br3 Br 0.211 0.000 0.120
N1 N 0.075 0.500 0.153
# energy	-5.599	eV per atom

---

# DyHoPBr2 PBE optimized geometry
data_DyHoPBr2
_chemical_formula_sum 'Dy1 Ho1 P1 Br2'
_cell_length_a 3.9883
_cell_length_b 3.9883
_cell_length_c 10.8251
_cell_angle_alpha 90.00
_cell_angle_beta 90.00
_cell_angle_gamma 120.00
_symmetry_space_group_name_H-M 'P 3 m 1'
_symmetry_Int_Tables_number 156
_symmetry_space_group_name_Hall 'P 3 -2"'
loop_
_atom_site_label
_atom_site_type_symbol
_atom_site_fract_x
_atom_site_fract_y
_atom_site_fract_z
Dy1 Dy 0.0000 0.0000 0.0000
Ho1 Ho 0.6667 0.3333 0.7203
P1 P 0.3333 0.6667 0.8591
Br1 Br 0.0000 0.0000 0.5524
Br2 Br 0.6667 0.3333 0.1691
# energy	-5.356	eV per atom

---

# DyHoS2Br2 PBE optimized geometry
data_DyHoS2Br2
_chemical_formula_sum 'Dy1 Ho1 S2 Br2'
_cell_length_a 4.055
_cell_length_b 5.351
_cell_length_c 9.094
_cell_angle_alpha 90.00
_cell_angle_beta 90.00
_cell_angle_gamma 90.00
_symmetry_space_group_name_H-M 'P m m 2'
_symmetry_Int_Tables_number 25
_symmetry_space_group_name_Hall 'P 2 -2'
loop_
_atom_site_label
_atom_site_type_symbol
_atom_site_fract_x
_atom_site_fract_y
_atom_site_fract_z
Dy1 Dy 0.000 0.000 0.000
Ho1 Ho 0.500 0.500 0.747
S1 S 0.000 0.500 0.948
S2 S 0.500 0.000 0.797
Br1 Br 0.000 0.500 0.532
Br2 Br 0.500 0.000 0.217
# energy	-5.480	eV per atom

---

# DyHoSbBr2 PBE optimized geometry
data_DyHoSbBr2
_chemical_formula_sum 'Dy1 Ho1 Sb1 Br2'
_cell_length_a 4.2096
_cell_length_b 4.2096
_cell_length_c 10.7766
_cell_angle_alpha 90.00
_cell_angle_beta 90.00
_cell_angle_gamma 120.00
_symmetry_space_group_name_H-M 'P 3 m 1'
_symmetry_Int_Tables_number 156
_symmetry_space_group_name_Hall 'P 3 -2"'
loop_
_atom_site_label
_atom_site_type_symbol
_atom_site_fract_x
_atom_site_fract_y
_atom_site_fract_z
Dy1 Dy 0.0000 0.0000 0.0000
Ho1 Ho 0.3333 0.6667 0.3204
Sb1 Sb 0.6667 0.3333 0.1612
Br1 Br 0.0000 0.0000 0.4784
Br2 Br 0.3333 0.6667 0.8413
# energy	-4.779	eV per atom

---

# Dy2Ho2SiBr5 PBE optimized geometry
data_Dy2Ho2SiBr5
_chemical_formula_sum 'Dy4 Ho4 Si2 Br10'
_cell_length_a 18.082
_cell_length_b 4.027
_cell_length_c 8.316
_cell_angle_alpha 90.00
_cell_angle_beta 102.55
_cell_angle_gamma 90.00
_symmetry_space_group_name_H-M 'C 1 2/m 1'
_symmetry_Int_Tables_number 12
_symmetry_space_group_name_Hall '-C 2y'
loop_
_atom_site_label
_atom_site_type_symbol
_atom_site_fract_x
_atom_site_fract_y
_atom_site_fract_z
Dy1 Dy 0.151 0.000 0.079
Ho1 Ho 0.000 0.500 0.221
Si1 Si 0.000 0.000 0.000
Br1 Br 0.000 0.000 0.500
Br2 Br 0.166 0.500 0.331
Br3 Br 0.172 0.500 0.837
# energy	-4.658	eV per atom

---

# DyIBr2 PBE optimized geometry
data_DyIBr2
_chemical_formula_sum 'Dy4 I4 Br8'
_cell_length_a 7.185
_cell_length_b 12.880
_cell_length_c 7.105
_cell_angle_alpha 90.00
_cell_angle_beta 108.15
_cell_angle_gamma 90.00
_symmetry_space_group_name_H-M 'C 1 2/m 1'
_symmetry_Int_Tables_number 12
_symmetry_space_group_name_Hall '-C 2y'
loop_
_atom_site_label
_atom_site_type_symbol
_atom_site_fract_x
_atom_site_fract_y
_atom_site_fract_z
Dy1 Dy 0.000 0.170 0.000
I1 I 0.235 0.000 0.265
Br1 Br 0.249 0.181 0.764
# energy	-4.093	eV per atom

---

# DyI2Br PBE optimized geometry
data_DyI2Br
_chemical_formula_sum 'Dy4 I8 Br4'
_cell_length_a 7.601
_cell_length_b 12.740
_cell_length_c 7.590
_cell_angle_alpha 90.00
_cell_angle_beta 109.02
_cell_angle_gamma 90.00
_symmetry_space_group_name_H-M 'C 1 2/m 1'
_symmetry_Int_Tables_number 12
_symmetry_space_group_name_Hall '-C 2y'
loop_
_atom_site_label
_atom_site_type_symbol
_atom_site_fract_x
_atom_site_fract_y
_atom_site_fract_z
Dy1 Dy 0.000 0.163 0.000
I1 I 0.246 0.173 0.755
Br1 Br 0.205 0.000 0.225
# energy	-3.904	eV per atom

---

# Dy4I3Br2N PBE optimized geometry
data_Dy4I3Br2N
_chemical_formula_sum 'Dy8 I6 Br4 N2'
_cell_length_a 18.311
_cell_length_b 3.846
_cell_length_c 8.423
_cell_angle_alpha 90.00
_cell_angle_beta 101.68
_cell_angle_gamma 90.00
_symmetry_space_group_name_H-M 'C 1 2/m 1'
_symmetry_Int_Tables_number 12
_symmetry_space_group_name_Hall '-C 2y'
loop_
_atom_site_label
_atom_site_type_symbol
_atom_site_fract_x
_atom_site_fract_y
_atom_site_fract_z
Dy1 Dy 0.001 0.000 0.311
Dy2 Dy 0.130 0.500 0.563
I1 I 0.000 0.500 0.000
I2 I 0.172 0.000 0.313
Br1 Br 0.156 0.000 0.821
N1 N 0.000 0.500 0.500
# energy	-4.862	eV per atom

---

# Nd2Dy2IBr4N PBE optimized geometry
data_Nd2Dy2IBr4N
_chemical_formula_sum 'Nd4 Dy4 I2 Br8 N2'
_cell_length_a 17.839
_cell_length_b 3.872
_cell_length_c 8.742
_cell_angle_alpha 90.00
_cell_angle_beta 103.38
_cell_angle_gamma 90.00
_symmetry_space_group_name_H-M 'C 1 2/m 1'
_symmetry_Int_Tables_number 12
_symmetry_space_group_name_Hall '-C 2y'
loop_
_atom_site_label
_atom_site_type_symbol
_atom_site_fract_x
_atom_site_fract_y
_atom_site_fract_z
Nd1 Nd 0.001 0.000 0.307
Dy1 Dy 0.134 0.500 0.565
I1 I 0.000 0.500 0.000
Br1 Br 0.170 0.000 0.813
Br2 Br 0.173 0.000 0.349
N1 N 0.000 0.500 0.500
# energy	-5.077	eV per atom

---

# Nd2Dy2I3Br2N PBE optimized geometry
data_Nd2Dy2I3Br2N
_chemical_formula_sum 'Nd4 Dy4 I6 Br4 N2'
_cell_length_a 18.787
_cell_length_b 3.936
_cell_length_c 8.683
_cell_angle_alpha 90.00
_cell_angle_beta 101.98
_cell_angle_gamma 90.00
_symmetry_space_group_name_H-M 'C 1 2/m 1'
_symmetry_Int_Tables_number 12
_symmetry_space_group_name_Hall '-C 2y'
loop_
_atom_site_label
_atom_site_type_symbol
_atom_site_fract_x
_atom_site_fract_y
_atom_site_fract_z
Nd1 Nd 0.001 0.000 0.306
Dy1 Dy 0.127 0.500 0.562
I1 I 0.000 0.500 0.000
I2 I 0.172 0.000 0.326
Br1 Br 0.161 0.000 0.810
N1 N 0.000 0.500 0.500
# energy	-4.925	eV per atom

---

# Dy2Sc2I2Br3N PBE optimized geometry
data_Dy2Sc2I2Br3N
_chemical_formula_sum 'Dy4 Sc4 I4 Br6 N2'
_cell_length_a 19.692
_cell_length_b 3.718
_cell_length_c 8.010
_cell_angle_alpha 90.00
_cell_angle_beta 101.49
_cell_angle_gamma 90.00
_symmetry_space_group_name_H-M 'C 1 2/m 1'
_symmetry_Int_Tables_number 12
_symmetry_space_group_name_Hall '-C 2y'
loop_
_atom_site_label
_atom_site_type_symbol
_atom_site_fract_x
_atom_site_fract_y
_atom_site_fract_z
Dy1 Dy 0.001 0.000 0.201
Sc1 Sc 0.112 0.500 0.049
I1 I 0.159 0.000 0.327
Br1 Br 0.000 0.500 0.500
Br2 Br 0.148 0.000 0.830
N1 N 0.000 0.500 0.000
# energy	-5.276	eV per atom

---

# Dy2Sc2I4BrN PBE optimized geometry
data_Dy2Sc2I4BrN
_chemical_formula_sum 'Dy4 Sc4 I8 Br2 N2'
_cell_length_a 20.166
_cell_length_b 3.783
_cell_length_c 8.117
_cell_angle_alpha 90.00
_cell_angle_beta 101.35
_cell_angle_gamma 90.00
_symmetry_space_group_name_H-M 'C 1 2/m 1'
_symmetry_Int_Tables_number 12
_symmetry_space_group_name_Hall '-C 2y'
loop_
_atom_site_label
_atom_site_type_symbol
_atom_site_fract_x
_atom_site_fract_y
_atom_site_fract_z
Dy1 Dy 0.000 0.000 0.198
Sc1 Sc 0.110 0.500 0.054
I1 I 0.154 0.000 0.326
I2 I 0.154 0.000 0.825
Br1 Br 0.000 0.500 0.500
N1 N 0.000 0.500 0.000
# energy	-5.116	eV per atom

---

# Sm2Dy2I3Br2N PBE optimized geometry
data_Sm2Dy2I3Br2N
_chemical_formula_sum 'Sm4 Dy4 I6 Br4 N2'
_cell_length_a 18.413
_cell_length_b 3.885
_cell_length_c 8.468
_cell_angle_alpha 90.00
_cell_angle_beta 102.40
_cell_angle_gamma 90.00
_symmetry_space_group_name_H-M 'C 1 2/m 1'
_symmetry_Int_Tables_number 12
_symmetry_space_group_name_Hall '-C 2y'
loop_
_atom_site_label
_atom_site_type_symbol
_atom_site_fract_x
_atom_site_fract_y
_atom_site_fract_z
Sm1 Sm 0.134 0.000 0.068
Dy1 Dy 0.001 0.500 0.811
I1 I 0.000 0.000 0.500
I2 I 0.170 0.500 0.806
Br1 Br 0.156 0.500 0.333
N1 N 0.000 0.000 0.000
# energy	-4.897	eV per atom

---

# SmDyI2BrN PBE optimized geometry
data_SmDyI2BrN
_chemical_formula_sum 'Sm4 Dy4 I8 Br4 N4'
_cell_length_a 19.205
_cell_length_b 4.001
_cell_length_c 12.019
_cell_angle_alpha 90.00
_cell_angle_beta 125.55
_cell_angle_gamma 90.00
_symmetry_space_group_name_H-M 'C 1 2/m 1'
_symmetry_Int_Tables_number 12
_symmetry_space_group_name_Hall '-C 2y'
loop_
_atom_site_label
_atom_site_type_symbol
_atom_site_fract_x
_atom_site_fract_y
_atom_site_fract_z
Sm1 Sm 0.135 0.000 0.283
Dy1 Dy 0.070 0.500 0.961
I1 I 0.039 0.000 0.736
I2 I 0.222 0.000 0.124
Br1 Br 0.172 0.500 0.506
N1 N 0.072 0.500 0.150
# energy	-5.327	eV per atom

---

# Sm2Dy2IBr4N PBE optimized geometry
data_Sm2Dy2IBr4N
_chemical_formula_sum 'Sm4 Dy4 I2 Br8 N2'
_cell_length_a 17.792
_cell_length_b 3.844
_cell_length_c 8.608
_cell_angle_alpha 90.00
_cell_angle_beta 103.43
_cell_angle_gamma 90.00
_symmetry_space_group_name_H-M 'C 1 2/m 1'
_symmetry_Int_Tables_number 12
_symmetry_space_group_name_Hall '-C 2y'
loop_
_atom_site_label
_atom_site_type_symbol
_atom_site_fract_x
_atom_site_fract_y
_atom_site_fract_z
Sm1 Sm 0.001 0.000 0.308
Dy1 Dy 0.135 0.500 0.566
I1 I 0.000 0.500 0.000
Br1 Br 0.168 0.000 0.819
Br2 Br 0.172 0.000 0.343
N1 N 0.000 0.500 0.500
# energy	-5.064	eV per atom

---

# Dy2Y2I3Br2N PBE optimized geometry
data_Dy2Y2I3Br2N
_chemical_formula_sum 'Dy4 Y4 I6 Br4 N2'
_cell_length_a 18.365
_cell_length_b 3.856
_cell_length_c 8.414
_cell_angle_alpha 90.00
_cell_angle_beta 101.93
_cell_angle_gamma 90.00
_symmetry_space_group_name_H-M 'C 1 2/m 1'
_symmetry_Int_Tables_number 12
_symmetry_space_group_name_Hall '-C 2y'
loop_
_atom_site_label
_atom_site_type_symbol
_atom_site_fract_x
_atom_site_fract_y
_atom_site_fract_z
Dy1 Dy 0.001 0.000 0.311
Y1 Y 0.130 0.500 0.565
I1 I 0.000 0.500 0.000
I2 I 0.171 0.000 0.312
Br1 Br 0.157 0.000 0.824
N1 N 0.000 0.500 0.500
# energy	-5.239	eV per atom

---

# Dy2PIBr PBE optimized geometry
data_Dy2PIBr
_chemical_formula_sum 'Dy2 P1 I1 Br1'
_cell_length_a 4.0555
_cell_length_b 4.0555
_cell_length_c 10.6728
_cell_angle_alpha 90.00
_cell_angle_beta 90.00
_cell_angle_gamma 120.00
_symmetry_space_group_name_H-M 'P 3 m 1'
_symmetry_Int_Tables_number 156
_symmetry_space_group_name_Hall 'P 3 -2"'
loop_
_atom_site_label
_atom_site_type_symbol
_atom_site_fract_x
_atom_site_fract_y
_atom_site_fract_z
Dy1 Dy 0.0000 0.0000 0.0000
Dy2 Dy 0.3333 0.6667 0.2806
P1 P 0.6667 0.3333 0.1399
I1 I 0.0000 0.0000 0.4742
Br1 Br 0.3333 0.6667 0.8308
# energy	-5.213	eV per atom

---

# Dy2SbIBr PBE optimized geometry
data_Dy2SbIBr
_chemical_formula_sum 'Dy2 Sb1 I1 Br1'
_cell_length_a 4.2788
_cell_length_b 4.2788
_cell_length_c 11.0743
_cell_angle_alpha 90.00
_cell_angle_beta 90.00
_cell_angle_gamma 120.00
_symmetry_space_group_name_H-M 'P 3 m 1'
_symmetry_Int_Tables_number 156
_symmetry_space_group_name_Hall 'P 3 -2"'
loop_
_atom_site_label
_atom_site_type_symbol
_atom_site_fract_x
_atom_site_fract_y
_atom_site_fract_z
Dy1 Dy 0.0000 0.0000 0.0000
Dy2 Dy 0.3333 0.6667 0.3092
Sb1 Sb 0.6667 0.3333 0.1542
I1 I 0.0000 0.0000 0.4857
Br1 Br 0.3333 0.6667 0.8470
# energy	-4.667	eV per atom

---

# Dy2Se2IBr PBE optimized geometry
data_Dy2Se2IBr
_chemical_formula_sum 'Dy2 Se2 I1 Br1'
_cell_length_a 4.167
_cell_length_b 5.646
_cell_length_c 9.027
_cell_angle_alpha 90.00
_cell_angle_beta 90.00
_cell_angle_gamma 90.00
_symmetry_space_group_name_H-M 'P m m 2'
_symmetry_Int_Tables_number 25
_symmetry_space_group_name_Hall 'P 2 -2'
loop_
_atom_site_label
_atom_site_type_symbol
_atom_site_fract_x
_atom_site_fract_y
_atom_site_fract_z
Dy1 Dy 0.000 0.000 0.000
Dy2 Dy 0.500 0.500 0.256
Se1 Se 0.000 0.500 0.037
Se2 Se 0.500 0.000 0.218
I1 I 0.500 0.000 0.756
Br1 Br 0.000 0.500 0.469
# energy	-5.023	eV per atom

---

# DyInBr6 PBE optimized geometry
data_DyInBr6
_chemical_formula_sum 'Dy2 In2 Br12'
_cell_length_a 7.033
_cell_length_b 12.230
_cell_length_c 7.076
_cell_angle_alpha 90.00
_cell_angle_beta 110.20
_cell_angle_gamma 90.00
_symmetry_space_group_name_H-M 'C 1 2 1'
_symmetry_Int_Tables_number 5
_symmetry_space_group_name_Hall 'C 2y'
loop_
_atom_site_label
_atom_site_type_symbol
_atom_site_fract_x
_atom_site_fract_y
_atom_site_fract_z
Dy1 Dy 0.000 0.000 0.000
In1 In 0.000 0.669 0.000
Br1 Br 0.227 0.830 0.240
Br2 Br 0.234 0.659 0.763
Br3 Br 0.247 0.016 0.761
# energy	-3.507	eV per atom